ZnGa2Cl: optimized geometry, PBE-GGA.

Formation energy from raw total energies   0.02 eV/atom
Energy above the most stable polymorph in this dataset   0.0478 eV per atom
M_tot   0.0 μB/cell

Cell lengths 7.0075, 7.0075, 7.0075 Å; angles 90.00, 90.00, 90.00 degrees
Space group Fm-3m (No. 225)
Unique sites:
1 Zn 0.0000 0.0000 0.0000
2 Ga 0.2500 0.2500 0.2500
3 Cl 0.0000 0.0000 0.5000

=====

Mn2MoPt: optimized geometry, PBE-GGA.

Formation energy from the elements   95 meV per atom
M_tot   16.9 μB/cell

Cell lengths 2.8005, 2.8005, 25.7215 Å; angles 90.00, 90.00, 120.00 degrees
Space group R-3m (No. 166, hexagonal axes)
Unique sites:
1 Mn 0.0000 0.0000 0.2482
2 Mo 0.0000 0.0000 0.5000
3 Pt 0.0000 0.0000 0.0000

=====

TbNd2TmAs4: optimized geometry, PBE-GGA.

Formation energy from the elements   -1510 meV per atom
M_tot   0.0 μB/cell

Cell lengths 7.2490, 4.1913, 7.2548 Å; angles 90.00, 109.48, 90.00 degrees
Space group P2/m (No. 10)
Unique sites:
1 Tb 0.0000 0.0000 0.0000
2 Nd 0.5000 0.0000 0.5000
3 Nd 0.5000 0.5000 0.0000
4 Tm 0.0000 0.5000 0.5000
5 As 0.2386 0.0000 0.7441
6 As 0.2403 0.5000 0.2489

=====

CsMg2Ag: optimized geometry, PBE-GGA.

Formation energy from the elements   371 meV per atom
Energy above the most stable polymorph in this dataset   0.1662 eV per atom
M_tot   0.0 μB/cell

Cell lengths 8.0137, 8.0137, 8.0137 Å; angles 90.00, 90.00, 90.00 degrees
Space group Fm-3m (No. 225)
Unique sites:
1 Cs 0.0000 0.0000 0.0000
2 Mg 0.2500 0.2500 0.2500
3 Ag 0.0000 0.0000 0.5000

=====

AcLa2Se5: optimized geometry, PBE-GGA.

Formation energy from raw total energies   -1.82 eV/atom
M_tot   0.0 μB/cell

Cell lengths 8.0520, 8.0520, 13.5933 Å; angles 90.00, 90.00, 90.00 degrees
Space group I4/mcm (No. 140)
Unique sites:
1 Ac 0.0000 0.0000 0.2500
2 La 0.1547 0.3453 0.0000
3 Se 0.0000 0.0000 0.0000
4 Se 0.1523 0.3477 0.3537

=====

TlCo2Cl: optimized geometry, PBE-GGA.

Formation energy from raw total energies   0.26 eV/atom
Energy above the most stable polymorph in this dataset   0.0217 eV per atom
M_tot   6.5 μB/cell

Cell lengths 12.1135, 3.2313, 4.5121 Å; angles 90.00, 90.12, 90.00 degrees
Space group Cm (No. 8)
Unique sites:
1 Tl 0.0000 0.0000 0.0000
2 Co 0.3695 0.5000 0.4992
3 Co 0.4992 0.0000 0.4999
4 Cl 0.2311 0.0000 0.4988

=====

Cs3Sc3AlSe8: optimized geometry, PBE-GGA.

Formation energy from raw total energies   -1.36 eV/atom
M_tot   0.0 μB/cell

Cell lengths 7.8386, 7.8386, 25.7070 Å; angles 90.00, 90.00, 120.00 degrees
Space group R-3m (No. 166, hexagonal axes)
Unique sites:
1 Cs 0.0000 0.5000 0.0000
2 Sc 0.0000 0.5000 0.5000
3 Al 0.0000 0.0000 0.5000
4 Se 0.0000 0.0000 0.2262
5 Se 0.0104 0.5052 0.2240

=====

CaMgPb2: optimized geometry, PBE-GGA.

Formation energy from the elements   -193 meV per atom
M_tot   0.0 μB/cell

Cell lengths 3.7506, 3.7506, 29.1190 Å; angles 90.00, 90.00, 120.00 degrees
Space group R-3m (No. 166, hexagonal axes)
Unique sites:
1 Ca 0.0000 0.0000 0.0000
2 Mg 0.0000 0.0000 0.5000
3 Pb 0.0000 0.0000 0.2443

=====

CdTe2AuN: optimized geometry, PBE-GGA.

Formation energy from raw total energies   0.82 eV/atom
Energy above the most stable polymorph in this dataset   0.0000 eV per atom
M_tot   0.5 μB/cell

Cell lengths 5.7923, 5.7923, 3.7988 Å; angles 90.00, 90.00, 90.00 degrees
Space group P4/mmm (No. 123)
Unique sites:
1 Cd 0.0000 0.0000 0.0000
2 Te 0.0000 0.5000 0.5000
3 Au 0.5000 0.5000 0.5000
4 N 0.5000 0.5000 0.0000

=====

Y2Er2Th3: optimized geometry, PBE-GGA.

Formation energy from the elements   227 meV per atom
Energy above the most stable polymorph in this dataset   0.0897 eV per atom
M_tot   0.0 μB/cell

Cell lengths 14.3542, 3.5812, 11.6522 Å; angles 90.00, 127.09, 90.00 degrees
Space group C2/m (No. 12)
Unique sites:
1 Y 0.2478 0.0000 0.3682
2 Er 0.2395 0.5000 0.1081
3 Th 0.0000 0.0000 0.0000
4 Th 0.0019 0.5000 0.7350

=====

TbHoEr: optimized geometry, PBE-GGA.

Formation energy from the elements   21 meV per atom
Energy above the most stable polymorph in this dataset   0.0022 eV per atom
M_tot   0.0 μB/cell

Cell lengths 3.5180, 3.5180, 14.9767 Å; angles 90.00, 90.00, 90.00 degrees
Space group I4mm (No. 107)
Unique sites:
1 Tb 0.0000 0.0000 0.0000
2 Ho 0.0000 0.0000 0.6675
3 Er 0.0000 0.0000 0.3331

=====

RbLi2Cr: optimized geometry, PBE-GGA.

Formation energy from the elements   746 meV per atom
Energy above the most stable polymorph in this dataset   0.0287 eV per atom
M_tot   19.9 μB/cell

Cell lengths 8.6306, 8.6306, 7.1216 Å; angles 90.00, 90.00, 90.00 degrees
Space group I-42d (No. 122)
Unique sites:
1 Rb 0.0000 0.0000 0.0000
2 Li 0.1836 0.2500 0.6250
3 Cr 0.0000 0.0000 0.5000

=====

Calculated total energy across the listed records, respectively: -0.08361, -0.32000, -0.22653, -0.04969, -0.21114, -0.15981, -0.18038, -0.10826, -0.10803, -0.22429, -0.16792, -0.10504 Ha/atom.